This record from Alexandria describes an optimized crystal structure of Be2HgGe. The functional is PBE.

Properties
DFT formation energy, eV/atom: 0.614
Energy above the lowest structure with this stoichiometry, meV/atom: 132
VASP energy, eV/f.u.: -9.92

a b c (Å): 4.3866 4.3866 4.3866
angles (deg): 60.00 60.00 60.00
With the nearest neighbours (Å) after each atom.
Sites, in units of the cell vectors:
Be (0.7500, 0.7500, 0.7500)  4 Hg 2.69, 4 Ge 2.69
Ge (0.0000, 0.0000, 0.0000)  8 Be 2.69
Hg (0.5000, 0.5000, 0.5000)  8 Be 2.69
Be (0.2500, 0.2500, 0.2500)  4 Hg 2.69, 4 Ge 2.69